Computed, not measured: a geometry-optimized Ti2Fe4P structure at the PBE level of DFT.

Summary:
- formation energy (kJ/mol of atoms) = 27.1
- energy (eV/cell) = -53.082

a = 6.822 Å, b = 6.822 Å, c = 6.822 Å
α = 145.34°, β = 145.34°, γ = 49.83°
Element x y z (fractional)
Ti  0.133  0.133  0.000
Ti  0.867  0.867  0.000
Fe  0.000  0.500  0.500
Fe  0.323  0.323  0.000
Fe  0.500  0.000  0.500
Fe  0.677  0.677  0.000
P  0.500  0.500  0.000